1.
Density functional theory data (PBE) for a relaxed structure of KTl6Se4.

Lattice parameters (Å, degrees): 9.391 9.391 4.593 90.00 90.00 120.00
Atoms (fractional coordinates):
K 0.000 0.000 0.000
Tl 0.197 0.394 0.500
Tl 0.197 0.803 0.500
Tl 0.543 0.087 0.000
Tl 0.543 0.457 0.000
Tl 0.606 0.803 0.500
Tl 0.913 0.457 0.000
Se 0.331 0.165 0.500
Se 0.333 0.667 0.000
Se 0.835 0.165 0.500
Se 0.835 0.669 0.500

* E_form (uncorrected): -420.5 meV/atom
* space-group type: P-6m2
* density of states at the Fermi level: 0.3044 states/eV/atom
* total magnetic moment: 0.00 μB per formula unit
* raw total energy: -33.86 eV/cell
* offset from the most stable computed form: 0 meV/atom

2.
Density functional theory data (PBE) for a relaxed structure of KTl2Se.

Lattice parameters (Å, degrees): 5.017 5.311 5.160 90.00 101.04 90.00
Atoms (fractional coordinates):
K 0.000 0.000 0.000
Tl 0.291 0.500 0.711
Tl 0.709 0.500 0.289
Se 0.500 0.000 0.500

* E_form (uncorrected): -421.6 meV/atom
* space-group type: P2/m
* density of states at the Fermi level: 0.4312 states/eV/atom
* total magnetic moment: 0.00 μB per formula unit
* raw total energy: -11.00 eV/cell
* offset from the most stable computed form: 64 meV/atom